# HfTi2MoN PBE relaxed
# * E_form (uncorrected): -0.70 eV per atom
data_HfTi2MoN
_chemical_formula_sum 'Hf1 Ti2 Mo1 N1'
_symmetry_space_group_name_H-M 'P 4/m m m'
_symmetry_Int_Tables_number 123
_symmetry_space_group_name_Hall '-P 4 2'
_cell_length_a 4.101
_cell_length_b 4.101
_cell_length_c 4.496
_cell_angle_alpha 90.00
_cell_angle_beta 90.00
_cell_angle_gamma 90.00
loop_
_atom_site_label
_atom_site_type_symbol
_atom_site_fract_x
_atom_site_fract_y
_atom_site_fract_z
Hf1 Hf 0.000 0.000 0.000
Ti1 Ti 0.000 0.500 0.500
Mo1 Mo 0.500 0.500 0.000
N1 N 0.000 0.000 0.500

=====

# LiCaMn2 PBE relaxed
# * ΔH_f (0 K): 0.61 eV/atom
data_LiCaMn2
_chemical_formula_sum 'Li2 Ca2 Mn4'
_symmetry_space_group_name_H-M 'C m m m'
_symmetry_Int_Tables_number 65
_symmetry_space_group_name_Hall '-C 2 2'
_cell_length_a 5.811
_cell_length_b 8.760
_cell_length_c 3.189
_cell_angle_alpha 90.00
_cell_angle_beta 90.00
_cell_angle_gamma 90.00
loop_
_atom_site_label
_atom_site_type_symbol
_atom_site_fract_x
_atom_site_fract_y
_atom_site_fract_z
Li1 Li 0.000 0.000 0.000
Ca1 Ca 0.000 0.500 0.000
Mn1 Mn 0.250 0.250 0.500

=====

Listing mass density for the structures above in their given order: 8.4, 3.2 Mg/m³.
Listing energy above the most stable polymorph in this dataset for the structures above in their given order: 0.000, 0.282 eV per atom.